Below is crystalline Li4AcMg2Cd at its relaxed geometry, with properties calculated at the GGA-PBE level.

a = 4.8447 Å, b = 4.8447 Å, c = 28.1976 Å
α = 90.00°, β = 90.00°, γ = 120.00°
Closest atoms and distances in Å follow each position.
Space group R-3m (No. 166, hexagonal axes)
Symmetry-distinct sites (fractional):
Li1 0.0000 0.0000 0.0948  1 Cd 2.67, 3 Mg 2.87
Li2 0.0000 0.0000 0.3667  3 Cd 2.95, 4 Mg 2.98-3.01, 3 Li 3.29
Ac1 0.0000 0.0000 0.5000  8 Li 3.45-3.76, 6 Mg 3.86
Mg1 0.0000 0.0000 0.2609  7 Li 2.87-3.01
Cd1 0.0000 0.0000 0.0000  8 Li 2.67-2.95

Computed properties:
- spin magnetization (μB/cell) = 3.143
- density of states at the Fermi level (states/eV/f.u.) = 6.199
- formation energy (kJ per mole of atoms) = -2
- total DFT energy (no corrections) (eV/atom) = -2.005


Below is crystalline Li3Ac2Mg12Cd at its relaxed geometry, with properties calculated at the GGA-PBE level.

a = 6.7344 Å, b = 6.7344 Å, c = 37.7588 Å
α = 90.00°, β = 90.00°, γ = 120.00°
Closest atoms and distances in Å follow each position.
Space group R-3m (No. 166, hexagonal axes)
Symmetry-distinct sites (fractional):
Li1 0.0000 0.5000 0.0000  4 Mg 2.85
Ac1 0.0000 0.0000 0.1424  12 Mg 3.59-3.82, 3 Cd 3.99
Mg1 0.0022 0.5011 0.1093  1 Cd 2.90, 2 Mg 2.98
Mg2 0.0348 0.5174 0.6144  2 Li 2.85, 4 Mg 2.98-3.02
Cd1 0.0000 0.0000 0.5000  6 Mg 2.90

Computed properties:
- spin magnetization (μB/cell) = 0.000
- density of states at the Fermi level (states/eV/f.u.) = 13.563
- formation energy (kJ per mole of atoms) = 11
- total DFT energy (no corrections) (eV/atom) = -1.780


Below is crystalline Li2AcMg2Cd2 at its relaxed geometry, with properties calculated at the GGA-PBE level.

a = 8.7619 Å, b = 5.0533 Å, c = 8.3960 Å
α = 90.00°, β = 109.08°, γ = 90.00°
Closest atoms and distances in Å follow each position.
Space group C2/m (No. 12)
Symmetry-distinct sites (fractional):
Li1 0.1419 0.0000 0.4351  1 Cd 2.71, 1 Li 3.02
Ac1 0.0000 0.0000 0.0000  6 Cd 3.41-3.42, 2 Li 3.45, 6 Mg 3.72-3.75
Mg1 0.0725 0.5000 0.7067  3 Cd 2.96-2.97, 3 Li 3.10-3.14, 1 Mg 3.28
Cd1 0.2381 0.5000 0.2238  1 Li 2.71, 3 Mg 2.96-2.97

Computed properties:
- spin magnetization (μB/cell) = 0.000
- density of states at the Fermi level (states/eV/f.u.) = 4.823
- formation energy (kJ per mole of atoms) = -17
- total DFT energy (no corrections) (eV/atom) = -2.025


Below is crystalline LiAcMgCd at its relaxed geometry, with properties calculated at the GGA-PBE level.

a = 7.5779 Å, b = 7.5779 Å, c = 7.5779 Å
α = 90.00°, β = 90.00°, γ = 90.00°
Closest atoms and distances in Å follow each position.
Space group F-43m (No. 216)
Symmetry-distinct sites (fractional):
Li1 0.0000 0.0000 0.0000  4 Mg 3.28, 4 Ac 3.28
Ac1 0.2500 0.2500 0.2500  4 Cd 3.28, 4 Li 3.28
Mg1 0.2500 0.2500 0.7500  4 Cd 3.28, 4 Li 3.28
Cd1 0.0000 0.0000 0.5000  4 Ac 3.28, 4 Mg 3.28

Computed properties:
- spin magnetization (μB/cell) = 0.000
- density of states at the Fermi level (states/eV/f.u.) = 2.480
- formation energy (kJ per mole of atoms) = -16
- total DFT energy (no corrections) (eV/atom) = -2.295